Entry 1:
GdYSc after structural relaxation, computed with PBE.

## Properties
For the magnetization, the calculation gives 14.6 μB per cell. For the formation energy, the calculation gives 50 meV/atom. For the energy above the lowest structure with this stoichiometry, the calculation gives 0.000 eV per atom.

CIF file:
```
data_GdYSc
_cell_length_a 3.5174
_cell_length_b 3.5174
_cell_length_c 14.4118
_cell_angle_alpha 90.00
_cell_angle_beta 90.00
_cell_angle_gamma 90.00
_symmetry_space_group_name_H-M 'I 4 m m'
_symmetry_Int_Tables_number 107
_symmetry_space_group_name_Hall 'I 4 -2'
loop_
_atom_site_label
_atom_site_type_symbol
_atom_site_fract_x
_atom_site_fract_y
_atom_site_fract_z
Gd1 Gd 0.0000 0.0000 0.0000
Y1 Y 0.0000 0.0000 0.6805
Sc1 Sc 0.0000 0.0000 0.3397
```

Entry 2:
GdYSc4 after structural relaxation, computed with PBE.

## Properties
For the magnetization, the calculation gives 53.0 μB per cell. For the formation energy, the calculation gives 186 meV/atom.

CIF file:
```
data_GdYSc4
_cell_length_a 8.8616
_cell_length_b 8.8616
_cell_length_c 8.8616
_cell_angle_alpha 90.00
_cell_angle_beta 90.00
_cell_angle_gamma 90.00
_symmetry_space_group_name_H-M 'F -4 3 m'
_symmetry_Int_Tables_number 216
_symmetry_space_group_name_Hall 'F -4 2 3'
loop_
_atom_site_label
_atom_site_type_symbol
_atom_site_fract_x
_atom_site_fract_y
_atom_site_fract_z
Gd1 Gd 0.0000 0.0000 0.0000
Y1 Y 0.2500 0.2500 0.7500
Sc1 Sc 0.1250 0.1250 0.3750
```

Entry 3:
Gd2YSc after structural relaxation, computed with PBE.

## Properties
For the magnetization, the calculation gives 60.7 μB per cell. For the formation energy, the calculation gives 109 meV/atom. For the energy above the lowest structure with this stoichiometry, the calculation gives 0.058 eV per atom.

CIF file:
```
data_Gd2YSc
_cell_length_a 7.8691
_cell_length_b 7.8691
_cell_length_c 7.8691
_cell_angle_alpha 90.00
_cell_angle_beta 90.00
_cell_angle_gamma 90.00
_symmetry_space_group_name_H-M 'F m -3 m'
_symmetry_Int_Tables_number 225
_symmetry_space_group_name_Hall '-F 4 2 3'
loop_
_atom_site_label
_atom_site_type_symbol
_atom_site_fract_x
_atom_site_fract_y
_atom_site_fract_z
Gd1 Gd 0.2500 0.2500 0.2500
Y1 Y 0.0000 0.0000 0.0000
Sc1 Sc 0.0000 0.0000 0.5000
```

Entry 4:
GdYSc after structural relaxation, computed with PBE.

## Properties
For the magnetization, the calculation gives 7.3 μB per cell. For the formation energy, the calculation gives 90 meV/atom. For the energy above the lowest structure with this stoichiometry, the calculation gives 0.039 eV per atom.

CIF file:
```
data_GdYSc
_cell_length_a 5.5044
_cell_length_b 5.5044
_cell_length_c 3.3779
_cell_angle_alpha 90.00
_cell_angle_beta 90.00
_cell_angle_gamma 120.00
_symmetry_space_group_name_H-M 'P 3 m 1'
_symmetry_Int_Tables_number 156
_symmetry_space_group_name_Hall 'P 3 -2"'
loop_
_atom_site_label
_atom_site_type_symbol
_atom_site_fract_x
_atom_site_fract_y
_atom_site_fract_z
Gd1 Gd 0.0000 0.0000 0.0000
Y1 Y 0.3333 0.6667 0.5008
Sc1 Sc 0.6667 0.3333 0.4987
```

Entry 5:
GdY2Sc after structural relaxation, computed with PBE.

## Properties
For the magnetization, the calculation gives 7.1 μB per cell. For the formation energy, the calculation gives 48 meV/atom. For the energy above the lowest structure with this stoichiometry, the calculation gives 0.000 eV per atom.

CIF file:
```
data_GdY2Sc
_cell_length_a 4.9356
_cell_length_b 4.9356
_cell_length_c 4.9659
_cell_angle_alpha 90.00
_cell_angle_beta 90.00
_cell_angle_gamma 90.00
_symmetry_space_group_name_H-M 'P 4/m m m'
_symmetry_Int_Tables_number 123
_symmetry_space_group_name_Hall '-P 4 2'
loop_
_atom_site_label
_atom_site_type_symbol
_atom_site_fract_x
_atom_site_fract_y
_atom_site_fract_z
Gd1 Gd 0.0000 0.0000 0.0000
Y1 Y 0.0000 0.5000 0.5000
Sc1 Sc 0.5000 0.5000 0.0000
```

Entry 6:
Gd2YSc after structural relaxation, computed with PBE.

## Properties
For the magnetization, the calculation gives 14.7 μB per cell. For the formation energy, the calculation gives 51 meV/atom. For the energy above the lowest structure with this stoichiometry, the calculation gives 0.000 eV per atom.

CIF file:
```
data_Gd2YSc
_cell_length_a 3.5468
_cell_length_b 3.5468
_cell_length_c 9.6242
_cell_angle_alpha 90.00
_cell_angle_beta 90.00
_cell_angle_gamma 90.00
_symmetry_space_group_name_H-M 'P 4/m m m'
_symmetry_Int_Tables_number 123
_symmetry_space_group_name_Hall '-P 4 2'
loop_
_atom_site_label
_atom_site_type_symbol
_atom_site_fract_x
_atom_site_fract_y
_atom_site_fract_z
Gd1 Gd 0.0000 0.0000 0.2357
Y1 Y 0.5000 0.5000 0.5000
Sc1 Sc 0.5000 0.5000 0.0000
```

Entry 7:
GdScZn2 after structural relaxation, computed with PBE.

## Properties
For the magnetization, the calculation gives 30.6 μB per cell. For the formation energy, the calculation gives -339 meV/atom. For the energy above the lowest structure with this stoichiometry, the calculation gives 0.011 eV per atom.

CIF file:
```
data_GdScZn2
_cell_length_a 6.9693
_cell_length_b 6.9693
_cell_length_c 6.9693
_cell_angle_alpha 90.00
_cell_angle_beta 90.00
_cell_angle_gamma 90.00
_symmetry_space_group_name_H-M 'F m -3 m'
_symmetry_Int_Tables_number 225
_symmetry_space_group_name_Hall '-F 4 2 3'
loop_
_atom_site_label
_atom_site_type_symbol
_atom_site_fract_x
_atom_site_fract_y
_atom_site_fract_z
Gd1 Gd 0.0000 0.0000 0.0000
Sc1 Sc 0.0000 0.0000 0.5000
Zn1 Zn 0.2500 0.2500 0.2500
```

Entry 8:
Gd2ScZn after structural relaxation, computed with PBE.

## Properties
For the magnetization, the calculation gives 14.8 μB per cell. For the formation energy, the calculation gives -57 meV/atom. For the energy above the lowest structure with this stoichiometry, the calculation gives 0.074 eV per atom.

CIF file:
```
data_Gd2ScZn
_cell_length_a 5.3009
_cell_length_b 5.3009
_cell_length_c 3.6492
_cell_angle_alpha 90.00
_cell_angle_beta 90.00
_cell_angle_gamma 90.00
_symmetry_space_group_name_H-M 'P 4/m m m'
_symmetry_Int_Tables_number 123
_symmetry_space_group_name_Hall '-P 4 2'
loop_
_atom_site_label
_atom_site_type_symbol
_atom_site_fract_x
_atom_site_fract_y
_atom_site_fract_z
Gd1 Gd 0.0000 0.5000 0.0000
Sc1 Sc 0.0000 0.0000 0.5000
Zn1 Zn 0.5000 0.5000 0.5000
```

Entry 9:
GdSc2Zn after structural relaxation, computed with PBE.

## Properties
For the magnetization, the calculation gives 8.0 μB per cell. For the formation energy, the calculation gives -62 meV/atom. For the energy above the lowest structure with this stoichiometry, the calculation gives 0.081 eV per atom.

CIF file:
```
data_GdSc2Zn
_cell_length_a 4.5156
_cell_length_b 4.5156
_cell_length_c 4.5652
_cell_angle_alpha 90.00
_cell_angle_beta 90.00
_cell_angle_gamma 90.00
_symmetry_space_group_name_H-M 'P 4/m m m'
_symmetry_Int_Tables_number 123
_symmetry_space_group_name_Hall '-P 4 2'
loop_
_atom_site_label
_atom_site_type_symbol
_atom_site_fract_x
_atom_site_fract_y
_atom_site_fract_z
Gd1 Gd 0.0000 0.0000 0.0000
Sc1 Sc 0.0000 0.5000 0.5000
Zn1 Zn 0.5000 0.5000 0.0000
```

Entry 10:
GdScZn2 after structural relaxation, computed with PBE.

## Properties
For the magnetization, the calculation gives 7.6 μB per cell. For the formation energy, the calculation gives -350 meV/atom. For the energy above the lowest structure with this stoichiometry, the calculation gives 0.000 eV per atom.

CIF file:
```
data_GdScZn2
_cell_length_a 3.4525
_cell_length_b 3.4525
_cell_length_c 7.0550
_cell_angle_alpha 90.00
_cell_angle_beta 90.00
_cell_angle_gamma 90.00
_symmetry_space_group_name_H-M 'P 4/m m m'
_symmetry_Int_Tables_number 123
_symmetry_space_group_name_Hall '-P 4 2'
loop_
_atom_site_label
_atom_site_type_symbol
_atom_site_fract_x
_atom_site_fract_y
_atom_site_fract_z
Gd1 Gd 0.0000 0.0000 0.0000
Sc1 Sc 0.0000 0.0000 0.5000
Zn1 Zn 0.5000 0.5000 0.2810
```

Entry 11:
GdSc2Zn after structural relaxation, computed with PBE.

## Properties
For the magnetization, the calculation gives 23.7 μB per cell. For the formation energy, the calculation gives 124 meV/atom. For the energy above the lowest structure with this stoichiometry, the calculation gives 0.266 eV per atom.

CIF file:
```
data_GdSc2Zn
_cell_length_a 3.2847
_cell_length_b 3.2847
_cell_length_c 31.9511
_cell_angle_alpha 90.00
_cell_angle_beta 90.00
_cell_angle_gamma 120.00
_symmetry_space_group_name_H-M 'R -3 m'
_symmetry_Int_Tables_number 166
_symmetry_space_group_name_Hall '-R 3 2"'
loop_
_atom_site_label
_atom_site_type_symbol
_atom_site_fract_x
_atom_site_fract_y
_atom_site_fract_z
Gd1 Gd 0.0000 0.0000 0.0000
Sc1 Sc 0.0000 0.0000 0.1000
Zn1 Zn 0.0000 0.0000 0.5000
```

Entry 12:
Gd2ScZn after structural relaxation, computed with PBE.

## Properties
For the magnetization, the calculation gives 59.4 μB per cell. For the formation energy, the calculation gives -15 meV/atom. For the energy above the lowest structure with this stoichiometry, the calculation gives 0.117 eV per atom.

CIF file:
```
data_Gd2ScZn
_cell_length_a 7.4186
_cell_length_b 7.4186
_cell_length_c 7.4186
_cell_angle_alpha 90.00
_cell_angle_beta 90.00
_cell_angle_gamma 90.00
_symmetry_space_group_name_H-M 'F m -3 m'
_symmetry_Int_Tables_number 225
_symmetry_space_group_name_Hall '-F 4 2 3'
loop_
_atom_site_label
_atom_site_type_symbol
_atom_site_fract_x
_atom_site_fract_y
_atom_site_fract_z
Gd1 Gd 0.2500 0.2500 0.2500
Sc1 Sc 0.0000 0.0000 0.0000
Zn1 Zn 0.0000 0.0000 0.5000
```